[1]
! NaTi6O12 (PBEsol, relaxed); values from VASP
! Total energy (eV/atom): -8.919
! Symmetry: Pmn2_1
! Crystal system: orthorhombic
! Total magnetization (μB per formula unit): 1.082
&SYSTEM
  ibrav = 0, nat = 38, ntyp = 3
/
ATOMIC_SPECIES
Na 22.99 Na.upf
Ti 47.87 Ti.upf
O 16.00 O.upf
CELL_PARAMETERS angstrom
8.868 0.000 0.000
0.000 9.302 0.000
0.000 0.000 5.289
ATOMIC_POSITIONS crystal
Na 0.000 0.219 0.000
Na 0.500 0.781 0.500
Ti 0.000 0.404 0.435
Ti 0.000 0.884 0.995
Ti 0.169 0.610 0.927
Ti 0.170 0.104 0.485
Ti 0.330 0.896 0.985
Ti 0.331 0.390 0.427
Ti 0.500 0.116 0.495
Ti 0.500 0.596 0.935
Ti 0.669 0.390 0.427
Ti 0.670 0.896 0.985
Ti 0.830 0.104 0.485
Ti 0.831 0.610 0.927
O 0.000 0.023 0.276
O 0.000 0.217 0.615
O 0.000 0.514 0.126
O 0.000 0.712 0.779
O 0.163 0.986 0.793
O 0.167 0.480 0.632
O 0.169 0.786 0.143
O 0.170 0.286 0.274
O 0.330 0.714 0.774
O 0.331 0.214 0.643
O 0.333 0.520 0.132
O 0.337 0.014 0.293
O 0.500 0.288 0.279
O 0.500 0.486 0.626
O 0.500 0.783 0.115
O 0.500 0.977 0.776
O 0.663 0.014 0.293
O 0.667 0.520 0.132
O 0.669 0.214 0.643
O 0.670 0.714 0.774
O 0.830 0.286 0.274
O 0.831 0.786 0.143
O 0.833 0.480 0.632
O 0.837 0.986 0.793

---

[2]
! Na2Ti6O13 (PBEsol, relaxed); values from VASP
! Total energy (eV/atom): -8.666
! Symmetry: C2/m
! Crystal system: monoclinic
! Total magnetization (μB per formula unit): 0.001
&SYSTEM
  ibrav = 0, nat = 21, ntyp = 3
/
ATOMIC_SPECIES
Na 22.99 Na.upf
Ti 47.87 Ti.upf
O 16.00 O.upf
CELL_PARAMETERS angstrom
7.539 -1.867 0.000
7.539 1.867 0.000
-1.415 0.000 9.069
ATOMIC_POSITIONS crystal
Na 0.038 0.038 0.234
Na 0.962 0.962 0.766
Ti 0.272 0.272 0.731
Ti 0.334 0.334 0.064
Ti 0.385 0.385 0.403
Ti 0.615 0.615 0.597
Ti 0.666 0.666 0.936
Ti 0.728 0.728 0.269
O 0.144 0.144 0.619
O 0.202 0.202 0.929
O 0.259 0.259 0.253
O 0.336 0.336 0.586
O 0.374 0.374 0.885
O 0.430 0.430 0.208
O 0.500 0.500 0.500
O 0.570 0.570 0.792
O 0.626 0.626 0.115
O 0.664 0.664 0.414
O 0.741 0.741 0.747
O 0.798 0.798 0.071
O 0.856 0.856 0.381

---

[3]
! NaTi2O4 (PBEsol, relaxed); values from VASP
! Total energy (eV/atom): -8.277
! Offset from the most stable computed form (meV/atom): 84
! Symmetry: Imm2
! Crystal system: orthorhombic
! Total magnetization (μB per formula unit): 0.000
&SYSTEM
  ibrav = 0, nat = 7, ntyp = 3
/
ATOMIC_SPECIES
Na 22.99 Na.upf
Ti 47.87 Ti.upf
O 16.00 O.upf
CELL_PARAMETERS angstrom
-1.676 2.021 6.197
1.676 -2.021 6.197
1.676 2.021 -6.197
ATOMIC_POSITIONS crystal
Na 0.000 0.000 0.000
Ti 0.310 0.810 0.500
Ti 0.655 0.655 0.000
O 0.155 0.655 0.500
O 0.379 0.379 0.000
O 0.587 0.087 0.500
O 0.807 0.807 0.000

---

Number 1: uncorrected formation energy -2.90 eV/atom. Number 2: uncorrected formation energy -2.91 eV/atom. Number 3: uncorrected formation energy -2.70 eV/atom.